Record 1
# VAgHg2I, relaxed, DFT PBE-GGA
data_VAgHg2I
_chemical_formula_sum 'V1 Ag1 Hg2 I1'
_space_group_name_H-M_alt 'P 4/m m m'
_space_group_IT_number 123
_space_group_name_Hall '-P 4 2'
_cell_length_a 6.901
_cell_length_b 6.901
_cell_length_c 5.138
_cell_angle_alpha 90.00
_cell_angle_beta 90.00
_cell_angle_gamma 90.00
loop_
_atom_site_label
_atom_site_type_symbol
_atom_site_fract_x
_atom_site_fract_y
_atom_site_fract_z
V1 V 0.000 0.000 0.000
Ag1 Ag 0.500 0.500 0.000
Hg1 Hg 0.000 0.500 0.500
I1 I 0.000 0.000 0.500
# Formation energy from raw total energies in kcal/mol of atoms: 21.98
# Energy in Ry per atom: -0.138
# Total magnetization in μB per formula unit: 3.2
# DOS at the Fermi energy in states/eV per cell: 3.5

Record 2
# InAgHg2, relaxed, DFT PBE-GGA
data_InAgHg2
_chemical_formula_sum 'In4 Ag4 Hg8'
_space_group_name_H-M_alt 'I -4 2 d'
_space_group_IT_number 122
_space_group_name_Hall 'I -4 2bw'
_cell_length_a 8.185
_cell_length_b 8.185
_cell_length_c 6.026
_cell_angle_alpha 90.00
_cell_angle_beta 90.00
_cell_angle_gamma 90.00
loop_
_atom_site_label
_atom_site_type_symbol
_atom_site_fract_x
_atom_site_fract_y
_atom_site_fract_z
In1 In 0.000 0.000 0.000
Ag1 Ag 0.000 0.000 0.500
Hg1 Hg 0.232 0.250 0.625
# Energy in Ry per atom: -0.106
# Total magnetization in μB per formula unit: 0.0
# DOS at the Fermi energy in states/eV per cell: 6.7

Record 3
# In4AgHg7, relaxed, DFT PBE-GGA
data_In4AgHg7
_chemical_formula_sum 'In4 Ag1 Hg7'
_space_group_name_H-M_alt 'P -3 m 1'
_space_group_IT_number 164
_space_group_name_Hall '-P 3 2"'
_cell_length_a 4.8184
_cell_length_b 4.8184
_cell_length_c 15.5477
_cell_angle_alpha 90.00
_cell_angle_beta 90.00
_cell_angle_gamma 120.00
loop_
_atom_site_label
_atom_site_type_symbol
_atom_site_fract_x
_atom_site_fract_y
_atom_site_fract_z
In1 In 0.3333 0.6667 0.1514
In2 In 0.3333 0.6667 0.4158
Ag1 Ag 0.0000 0.0000 0.0000
Hg1 Hg 0.0000 0.0000 0.2408
Hg2 Hg 0.0000 0.0000 0.5000
Hg3 Hg 0.3333 0.6667 0.6716
Hg4 Hg 0.3333 0.6667 0.9333
# Energy in Ry per atom: -0.095
# Total magnetization in μB per formula unit: 0.0
# Energy above the most stable polymorph in this dataset in eV per atom: 0.007
# DOS at the Fermi energy in states/eV per cell: 5.2

Record 4
# InAg2Hg, relaxed, DFT PBE-GGA
data_InAg2Hg
_chemical_formula_sum 'In1 Ag2 Hg1'
_space_group_name_H-M_alt 'P m m 2'
_space_group_IT_number 25
_space_group_name_Hall 'P 2 -2'
_cell_length_a 3.000
_cell_length_b 5.218
_cell_length_c 5.280
_cell_angle_alpha 90.00
_cell_angle_beta 90.00
_cell_angle_gamma 90.00
loop_
_atom_site_label
_atom_site_type_symbol
_atom_site_fract_x
_atom_site_fract_y
_atom_site_fract_z
In1 In 0.000 0.000 0.000
Ag1 Ag 0.500 0.000 0.508
Ag2 Ag 0.500 0.500 0.830
Hg1 Hg 0.000 0.500 0.339
# Energy in Ry per atom: -0.158
# Total magnetization in μB per formula unit: 0.0
# Energy above the most stable polymorph in this dataset in eV per atom: 0.007
# DOS at the Fermi energy in states/eV per cell: 0.8

Record 5
# InAgHg, relaxed, DFT PBE-GGA
data_InAgHg
_chemical_formula_sum 'In4 Ag4 Hg4'
_space_group_name_H-M_alt 'C 1 c 1'
_space_group_IT_number 9
_space_group_name_Hall 'C -2yc'
_cell_length_a 8.819
_cell_length_b 6.895
_cell_length_c 5.726
_cell_angle_alpha 90.00
_cell_angle_beta 127.30
_cell_angle_gamma 90.00
loop_
_atom_site_label
_atom_site_type_symbol
_atom_site_fract_x
_atom_site_fract_y
_atom_site_fract_z
In1 In 0.000 0.158 0.000
Ag1 Ag 0.338 0.003 0.082
Hg1 Hg 0.189 0.352 0.679
# Energy in Ry per atom: -0.143
# Total magnetization in μB per formula unit: 0.0
# Energy above the most stable polymorph in this dataset in eV per atom: 0.000
# DOS at the Fermi energy in states/eV per cell: 4.2

Record 6
# In3AgHg7, relaxed, DFT PBE-GGA
data_In3AgHg7
_chemical_formula_sum 'In6 Ag2 Hg14'
_space_group_name_H-M_alt 'C 1 m 1'
_space_group_IT_number 8
_space_group_name_Hall 'C -2y'
_cell_length_a 11.605
_cell_length_b 10.378
_cell_length_c 5.385
_cell_angle_alpha 90.00
_cell_angle_beta 117.62
_cell_angle_gamma 90.00
loop_
_atom_site_label
_atom_site_type_symbol
_atom_site_fract_x
_atom_site_fract_y
_atom_site_fract_z
In1 In 0.000 0.000 0.000
In2 In 0.020 0.239 0.509
Ag1 Ag 0.050 0.500 0.052
Hg1 Hg 0.174 0.239 0.163
Hg2 Hg 0.188 0.500 0.689
Hg3 Hg 0.333 0.186 0.823
Hg4 Hg 0.346 0.500 0.348
Hg5 Hg 0.362 0.000 0.356
# Energy in Ry per atom: -0.085
# Total magnetization in μB per formula unit: 0.0
# DOS at the Fermi energy in states/eV per cell: 4.0

Record 7
# In3AgHg2, relaxed, DFT PBE-GGA
data_In3AgHg2
_chemical_formula_sum 'In12 Ag4 Hg8'
_space_group_name_H-M_alt 'P n m a'
_space_group_IT_number 62
_space_group_name_Hall '-P 2ac 2n'
_cell_length_a 13.154
_cell_length_b 4.703
_cell_length_c 9.580
_cell_angle_alpha 90.00
_cell_angle_beta 90.00
_cell_angle_gamma 90.00
loop_
_atom_site_label
_atom_site_type_symbol
_atom_site_fract_x
_atom_site_fract_y
_atom_site_fract_z
In1 In 0.066 0.250 0.082
In2 In 0.152 0.750 0.584
In3 In 0.214 0.750 0.250
Ag1 Ag 0.088 0.250 0.398
Hg1 Hg 0.030 0.250 0.713
Hg2 Hg 0.182 0.750 0.924
# Energy in Ry per atom: -0.140
# Total magnetization in μB per formula unit: 0.0
# DOS at the Fermi energy in states/eV per cell: 7.3

Record 8
# In5AgHg4, relaxed, DFT PBE-GGA
data_In5AgHg4
_chemical_formula_sum 'In5 Ag1 Hg4'
_space_group_name_H-M_alt 'P -1'
_space_group_IT_number 2
_space_group_name_Hall '-P 1'
_cell_length_a 3.444
_cell_length_b 3.458
_cell_length_c 22.727
_cell_angle_alpha 88.88
_cell_angle_beta 86.15
_cell_angle_gamma 72.00
loop_
_atom_site_label
_atom_site_type_symbol
_atom_site_fract_x
_atom_site_fract_y
_atom_site_fract_z
In1 In 0.000 0.000 0.000
In2 In 0.184 0.189 0.205
In3 In 0.404 0.385 0.410
Ag1 Ag 0.000 0.000 0.500
Hg1 Hg 0.220 0.214 0.692
Hg2 Hg 0.409 0.403 0.897
# Energy in Ry per atom: -0.129
# Total magnetization in μB per formula unit: 0.0
# DOS at the Fermi energy in states/eV per cell: 3.7

Record 9
# In3Ag2Hg2, relaxed, DFT PBE-GGA
data_In3Ag2Hg2
_chemical_formula_sum 'In6 Ag4 Hg4'
_space_group_name_H-M_alt 'C m m m'
_space_group_IT_number 65
_space_group_name_Hall '-C 2 2'
_cell_length_a 4.891
_cell_length_b 20.121
_cell_length_c 3.407
_cell_angle_alpha 90.00
_cell_angle_beta 90.00
_cell_angle_gamma 90.00
loop_
_atom_site_label
_atom_site_type_symbol
_atom_site_fract_x
_atom_site_fract_y
_atom_site_fract_z
In1 In 0.000 0.000 0.000
In2 In 0.000 0.162 0.000
Ag1 Ag 0.000 0.286 0.500
Hg1 Hg 0.000 0.426 0.500
# Energy in Ry per atom: -0.149
# Total magnetization in μB per formula unit: 0.0
# DOS at the Fermi energy in states/eV per cell: 5.2

Record 10
# In3Ag6Hg2, relaxed, DFT PBE-GGA
data_In3Ag6Hg2
_chemical_formula_sum 'In3 Ag6 Hg2'
_space_group_name_H-M_alt 'P -1'
_space_group_IT_number 2
_space_group_name_Hall '-P 1'
_cell_length_a 3.373
_cell_length_b 5.188
_cell_length_c 14.197
_cell_angle_alpha 90.96
_cell_angle_beta 90.01
_cell_angle_gamma 108.52
loop_
_atom_site_label
_atom_site_type_symbol
_atom_site_fract_x
_atom_site_fract_y
_atom_site_fract_z
In1 In 0.000 0.000 0.000
In2 In 0.116 0.251 0.351
Ag1 Ag 0.145 0.285 0.547
Ag2 Ag 0.282 0.564 0.081
Ag3 Ag 0.430 0.856 0.831
Hg1 Hg 0.153 0.296 0.752
# Energy in Ry per atom: -0.170
# Total magnetization in μB per formula unit: 0.0
# DOS at the Fermi energy in states/eV per cell: 3.2

Record 11
# In3AgHg5, relaxed, DFT PBE-GGA
data_In3AgHg5
_chemical_formula_sum 'In6 Ag2 Hg10'
_space_group_name_H-M_alt 'P 63/m c m'
_space_group_IT_number 193
_space_group_name_Hall '-P 6c 2'
_cell_length_a 9.0636
_cell_length_b 9.0636
_cell_length_c 6.4478
_cell_angle_alpha 90.00
_cell_angle_beta 90.00
_cell_angle_gamma 120.00
loop_
_atom_site_label
_atom_site_type_symbol
_atom_site_fract_x
_atom_site_fract_y
_atom_site_fract_z
In1 In 0.0000 0.3782 0.2500
Ag1 Ag 0.0000 0.0000 0.0000
Hg1 Hg 0.0000 0.2800 0.7500
Hg2 Hg 0.3333 0.6667 0.0000
# Energy in Ry per atom: -0.099
# Total magnetization in μB per formula unit: 0.0
# DOS at the Fermi energy in states/eV per cell: 7.7

Record 12
# In5AgHg7, relaxed, DFT PBE-GGA
data_In5AgHg7
_chemical_formula_sum 'In10 Ag2 Hg14'
_space_group_name_H-M_alt 'I m m 2'
_space_group_IT_number 44
_space_group_name_Hall 'I 2 -2'
_cell_length_a 6.213
_cell_length_b 8.905
_cell_length_c 12.598
_cell_angle_alpha 90.00
_cell_angle_beta 90.00
_cell_angle_gamma 90.00
loop_
_atom_site_label
_atom_site_type_symbol
_atom_site_fract_x
_atom_site_fract_y
_atom_site_fract_z
In1 In 0.000 0.000 0.000
In2 In 0.240 0.188 0.497
Ag1 Ag 0.000 0.500 0.136
Hg1 Hg 0.000 0.000 0.715
Hg2 Hg 0.000 0.176 0.239
Hg3 Hg 0.000 0.321 0.790
Hg4 Hg 0.000 0.500 0.357
Hg5 Hg 0.000 0.500 0.589
# Energy in Ry per atom: -0.102
# Total magnetization in μB per formula unit: 0.0
# DOS at the Fermi energy in states/eV per cell: 8.9